# 1
First-principles (SCAN) data for a crystal of CuPbSe relaxed with PBEsol, as listed in the Alexandria database.

a b c (Å): 4.711 4.711 4.711
angles (deg): 60.00 60.00 60.00
Fractional coordinates of all 3 atoms:
Cu (0.000, 0.000, 0.000)
Pb (0.500, 0.500, 0.500)
Se (0.750, 0.750, 0.750)

Results
E_form (uncorrected): 0.349 eV per atom
total magnetization: 0.0 μB/f.u.

***

# 2
First-principles (SCAN) data for a crystal of TbCuPbSe3 relaxed with PBEsol, as listed in the Alexandria database.

a b c (Å): 10.491 4.000 13.410
angles (deg): 90.00 90.00 90.00
Fractional coordinates of all 24 atoms:
Tb (0.021, 0.250, 0.243)
Tb (0.479, 0.750, 0.743)
Tb (0.521, 0.250, 0.257)
Tb (0.979, 0.750, 0.757)
Cu (0.235, 0.250, 0.721)
Cu (0.265, 0.750, 0.221)
Cu (0.735, 0.250, 0.779)
Cu (0.765, 0.750, 0.279)
Pb (0.223, 0.750, 0.506)
Pb (0.277, 0.250, 0.006)
Pb (0.723, 0.750, 0.994)
Pb (0.777, 0.250, 0.494)
Se (0.047, 0.250, 0.613)
Se (0.089, 0.750, 0.104)
Se (0.233, 0.750, 0.830)
Se (0.267, 0.250, 0.330)
Se (0.411, 0.250, 0.604)
Se (0.453, 0.750, 0.113)
Se (0.547, 0.250, 0.887)
Se (0.589, 0.750, 0.396)
Se (0.733, 0.750, 0.670)
Se (0.767, 0.250, 0.170)
Se (0.911, 0.250, 0.896)
Se (0.953, 0.750, 0.387)

Results
E_form (uncorrected): -1.107 eV per atom
total magnetization: 0.0 μB/f.u.

***

# 3
First-principles (SCAN) data for a crystal of Cu2SiPb relaxed with PBEsol, as listed in the Alexandria database.

a b c (Å): 3.140 3.140 6.738
angles (deg): 90.00 90.00 90.00
Fractional coordinates of all 4 atoms:
Cu (0.000, 0.000, 0.182)
Cu (0.000, 0.000, 0.818)
Si (0.500, 0.500, 0.000)
Pb (0.500, 0.500, 0.500)

Results
E_form (uncorrected): 0.335 eV per atom
total magnetization: 0.0 μB/f.u.
energy above the lowest structure with this stoichiometry: 191 meV/atom

***

# 4
First-principles (SCAN) data for a crystal of CuSi2Pb relaxed with PBEsol, as listed in the Alexandria database.

a b c (Å): 4.125 4.125 5.826
angles (deg): 106.08 106.08 51.93
Fractional coordinates of all 4 atoms:
Cu (0.000, 0.000, 0.000)
Si (0.467, 0.467, 0.299)
Si (0.726, 0.726, 0.120)
Pb (0.233, 0.233, 0.680)

Results
E_form (uncorrected): 0.364 eV per atom
total magnetization: 0.0 μB/f.u.

***

# 5
First-principles (SCAN) data for a crystal of CuSi2Pb relaxed with PBEsol, as listed in the Alexandria database.

a b c (Å): 5.712 5.712 5.712
angles (deg): 141.43 141.43 55.69
Fractional coordinates of all 4 atoms:
Cu (0.000, 0.000, 0.000)
Si (0.250, 0.750, 0.500)
Si (0.750, 0.250, 0.500)
Pb (0.500, 0.500, 0.000)

Results
E_form (uncorrected): 0.694 eV per atom
total magnetization: 0.0 μB/f.u.

***

# 6
First-principles (SCAN) data for a crystal of CuSiPb relaxed with PBEsol, as listed in the Alexandria database.

a b c (Å): 4.528 4.528 4.528
angles (deg): 60.00 60.00 60.00
Fractional coordinates of all 3 atoms:
Cu (0.000, 0.000, 0.000)
Si (0.500, 0.500, 0.500)
Pb (0.750, 0.750, 0.750)

Results
E_form (uncorrected): 0.818 eV per atom
total magnetization: 0.0 μB/f.u.

***

# 7
First-principles (SCAN) data for a crystal of CuSiPb2 relaxed with PBEsol, as listed in the Alexandria database.

a b c (Å): 3.792 4.431 5.146
angles (deg): 90.00 90.00 90.00
Fractional coordinates of all 4 atoms:
Cu (0.000, 0.000, 0.000)
Si (0.000, 0.500, 0.500)
Pb (0.500, 0.000, 0.500)
Pb (0.500, 0.500, 0.000)

Results
E_form (uncorrected): 0.583 eV per atom
total magnetization: 0.0 μB/f.u.

***

# 8
First-principles (SCAN) data for a crystal of CuSi2Pb relaxed with PBEsol, as listed in the Alexandria database.

a b c (Å): 4.660 4.660 4.660
angles (deg): 60.00 60.00 60.00
Fractional coordinates of all 4 atoms:
Cu (0.000, 0.000, 0.000)
Si (0.500, 0.500, 0.500)
Si (0.750, 0.750, 0.750)
Pb (0.250, 0.250, 0.250)

Results
E_form (uncorrected): 0.791 eV per atom
total magnetization: 0.0 μB/f.u.